No. 1
Nd6In5Hg: relaxed, PBE.

The calculated formation energy is -489 meV per atom. Its total energy is -4.0395 eV/atom.

Lattice parameters (Å, degrees): 5.4856 7.7399 8.6830 90.00 71.29 90.00
Last column: nearest neighbours and their distance in Å.
Element x y z (fractional)
Nd1 0.8345 0.7515 0.3310  1 Hg 3.33, 7 In 3.35-3.37
Nd2 0.8345 0.2485 0.3310  1 Hg 3.33, 7 In 3.35-3.37
Nd3 0.5000 0.2473 0.0000  6 In 3.33-3.37, 2 Hg 3.34
Nd4 0.5000 0.7527 0.0000  6 In 3.33-3.37, 2 Hg 3.34
Nd5 0.1655 0.7515 0.6690  1 Hg 3.33, 7 In 3.35-3.37
Nd6 0.1655 0.2485 0.6690  1 Hg 3.33, 7 In 3.35-3.37
Hg1 0.0000 0.0000 0.0000  8 Nd 3.33-3.34
In1 0.6668 0.5000 0.6659  8 Nd 3.36-3.37
In2 0.3343 0.0000 0.3318  8 Nd 3.33-3.37
In3 0.0000 0.5000 0.0000  8 Nd 3.35-3.37
In4 0.6657 0.0000 0.6682  8 Nd 3.33-3.37
In5 0.3332 0.5000 0.3341  8 Nd 3.36-3.37

No. 2
V2HPt: relaxed, PBE.

Its total energy is -6.7854 eV/atom.

Lattice parameters (Å, degrees): 4.4853 4.4853 5.9842 67.99 67.99 90.00
Last column: nearest neighbours and their distance in Å.
Element x y z (fractional)
H1 0.5000 0.5000 0.0000  4 V 1.73
H2 0.2500 0.7500 0.5000  4 V 1.73
Pt1 0.0000 0.0000 0.0000  4 V 2.54
Pt2 0.7500 0.2500 0.5000  4 V 2.54
V1 0.4531 0.1250 0.2500  2 H 1.73
V2 0.2969 0.6250 0.2500  2 H 1.73
V3 0.3750 0.5469 0.7500  2 H 1.73
V4 0.8750 0.7031 0.7500  2 H 1.73